i.
Compound: Ho2ZrIn
Source: Alexandria via LeMat-Bulk
Functional: PBE-GGA
Structure: relaxed

Summary:
Spin magnetization = 0.57 μB/f.u.
Space-group type = F-43m, No. 216

Cell and atoms, written as CIF:
```
data_Ho2ZrIn
_symmetry_space_group_name_H-M 'P 1'
_symmetry_Int_Tables_number 1
_symmetry_space_group_name_Hall 'P 1'
_cell_length_a 5.2555
_cell_length_b 5.2555
_cell_length_c 5.2555
_cell_angle_alpha 60.00
_cell_angle_beta 60.00
_cell_angle_gamma 60.00
loop_
_atom_site_label
_atom_site_type_symbol
_atom_site_fract_x
_atom_site_fract_y
_atom_site_fract_z
Ho1 Ho 0.0000 0.0000 0.0000
Ho2 Ho 0.2500 0.2500 0.2500
Zr1 Zr 0.5000 0.5000 0.5000
In1 In 0.7500 0.7500 0.7500
```


ii.
Compound: Ho2ZrIn
Source: Alexandria via LeMat-Bulk
Functional: PBE-GGA
Structure: relaxed

Summary:
Spin magnetization = 2.64 μB/f.u.
Space-group type = Fm-3m, No. 225

Cell and atoms, written as CIF:
```
data_Ho2ZrIn
_symmetry_space_group_name_H-M 'P 1'
_symmetry_Int_Tables_number 1
_symmetry_space_group_name_Hall 'P 1'
_cell_length_a 5.3185
_cell_length_b 5.3185
_cell_length_c 5.3185
_cell_angle_alpha 60.00
_cell_angle_beta 60.00
_cell_angle_gamma 60.00
loop_
_atom_site_label
_atom_site_type_symbol
_atom_site_fract_x
_atom_site_fract_y
_atom_site_fract_z
Ho1 Ho 0.2500 0.2500 0.2500
Ho2 Ho 0.7500 0.7500 0.7500
Zr1 Zr 0.0000 0.0000 0.0000
In1 In 0.5000 0.5000 0.5000
```


What is the stability order? It is ii, i, from most stable to least stable.


i.
Compound: HoZr2In
Source: Alexandria via LeMat-Bulk
Functional: PBE-GGA
Structure: relaxed

Summary:
Spin magnetization = 0.69 μB/f.u.
Space-group type = F-43m, No. 216

Cell and atoms, written as CIF:
```
data_HoZr2In
_symmetry_space_group_name_H-M 'P 1'
_symmetry_Int_Tables_number 1
_symmetry_space_group_name_Hall 'P 1'
_cell_length_a 5.1455
_cell_length_b 5.1455
_cell_length_c 5.1455
_cell_angle_alpha 60.00
_cell_angle_beta 60.00
_cell_angle_gamma 60.00
loop_
_atom_site_label
_atom_site_type_symbol
_atom_site_fract_x
_atom_site_fract_y
_atom_site_fract_z
Ho1 Ho 0.0000 0.0000 0.0000
Zr1 Zr 0.5000 0.5000 0.5000
Zr2 Zr 0.7500 0.7500 0.7500
In1 In 0.2500 0.2500 0.2500
```


ii.
Compound: HoZr2In
Source: Alexandria via LeMat-Bulk
Functional: PBE-GGA
Structure: relaxed

Summary:
Spin magnetization = 0.00 μB/f.u.
Space-group type = P2_1/m, No. 11

Cell and atoms, written as CIF:
```
data_HoZr2In
_symmetry_space_group_name_H-M 'P 1'
_symmetry_Int_Tables_number 1
_symmetry_space_group_name_Hall 'P 1'
_cell_length_a 4.1500
_cell_length_b 4.5954
_cell_length_c 10.9916
_cell_angle_alpha 90.00
_cell_angle_beta 100.83
_cell_angle_gamma 90.00
loop_
_atom_site_label
_atom_site_type_symbol
_atom_site_fract_x
_atom_site_fract_y
_atom_site_fract_z
Ho1 Ho 0.1924 0.2500 0.3852
Ho2 Ho 0.8076 0.7500 0.6148
Zr1 Zr 0.0527 0.7500 0.1057
Zr2 Zr 0.4477 0.7500 0.8947
Zr3 Zr 0.5523 0.2500 0.1053
Zr4 Zr 0.9473 0.2500 0.8943
In1 In 0.3401 0.2500 0.6800
In2 In 0.6599 0.7500 0.3200
```


iii.
Compound: HoZr2In
Source: Alexandria via LeMat-Bulk
Functional: PBE-GGA
Structure: relaxed

Summary:
Spin magnetization = 0.00 μB/f.u.
Space-group type = P4/mmm, No. 123

Cell and atoms, written as CIF:
```
data_HoZr2In
_symmetry_space_group_name_H-M 'P 1'
_symmetry_Int_Tables_number 1
_symmetry_space_group_name_Hall 'P 1'
_cell_length_a 4.5707
_cell_length_b 4.5707
_cell_length_c 4.5704
_cell_angle_alpha 90.00
_cell_angle_beta 90.00
_cell_angle_gamma 90.00
loop_
_atom_site_label
_atom_site_type_symbol
_atom_site_fract_x
_atom_site_fract_y
_atom_site_fract_z
Ho1 Ho 0.0000 0.0000 0.0000
Zr1 Zr 0.0000 0.5000 0.5000
Zr2 Zr 0.5000 0.0000 0.5000
In1 In 0.5000 0.5000 0.0000
```


What is the stability order? It is ii, iii, i, from most stable to least stable.